Compound: Pm2HRhO6
Source: the Alexandria database
Functional: PBE-GGA
Structure: relaxed

## Properties
density of states at the Fermi level	4.83	states/eV per cell
total DFT energy (no corrections)	-67.26	eV/f.u.
total magnetization	1.99	μB per formula unit
space-group type	C2/m

Cell: 5.4750 5.4750 5.3764 Å, 117.48 117.48 56.01°
Last column: nearest neighbours and their distance in Å.
Atoms (fractional coordinates):
Pm  0.2416  0.2416  0.2235  5 O 2.29-2.43
Pm  0.7584  0.7584  0.7765  5 O 2.29-2.43
H  0.5000  0.5000  0.0000  4 O 1.83
Rh  0.0000  0.0000  0.5000  6 O 1.98-2.00
O  0.2068  0.6867  0.1868  1 H 1.83, 1 Rh 2.00
O  0.2348  0.2348  0.6438  1 Rh 1.98
O  0.3133  0.7932  0.8132  1 H 1.83, 1 Rh 2.00
O  0.6867  0.2068  0.1868  1 H 1.83, 1 Rh 2.00
O  0.7652  0.7652  0.3562  1 Rh 1.98
O  0.7932  0.3133  0.8132  1 H 1.83, 1 Rh 2.00